VASP calculation (GGA-PBE) on AgTe2Mo after structural relaxation.

Lattice parameters (Å, degrees): 9.3028 3.5116 6.6450 90.00 101.60 90.00
Space group Cm (No. 8)
One atom of each set of equivalent atoms:
Ag: 0.0000 0.0000 0.0000 (multiplicity 2)
Te: 0.0253 0.5000 0.6343 (multiplicity 2)
Te: 0.2538 0.5000 0.1323 (multiplicity 2)
Mo: 0.2444 0.0000 0.8058 (multiplicity 2)

Output
crystal system	monoclinic
formation energy without anion corrections	0.260	eV per atom
total moment	0.0	μB/f.u.
energy	-0.17388	Ha/atom

=====

VASP calculation (GGA-PBE) on SrTl2AsSe4 after structural relaxation.

Lattice parameters (Å, degrees): 8.4090 8.8743 12.2221 90.00 90.00 90.00
Space group Imma (No. 74)
One atom of each set of equivalent atoms:
Sr: 0.0000 0.0000 0.0000 (multiplicity 4)
Tl: 0.0000 0.0000 0.5000 (multiplicity 4)
Tl: 0.2500 0.2500 0.2500 (multiplicity 4)
As: 0.2500 0.2500 0.7500 (multiplicity 4)
Se: 0.0000 0.0414 0.7498 (multiplicity 8)
Se: 0.2492 0.2500 0.9763 (multiplicity 8)

Output
crystal system	orthorhombic
formation energy without anion corrections	-0.621	eV per atom
total moment	0.0	μB/f.u.
energy	-0.13767	Ha/atom

=====

VASP calculation (GGA-PBE) on EuGdCu2 after structural relaxation.

Lattice parameters (Å, degrees): 7.1196 7.1196 7.1196 90.00 90.00 90.00
Space group Fm-3m (No. 225)
One atom of each set of equivalent atoms:
Eu: 0.0000 0.0000 0.0000 (multiplicity 4)
Gd: 0.0000 0.0000 0.5000 (multiplicity 4)
Cu: 0.2500 0.2500 0.2500 (multiplicity 8)

Output
ΔH_f (0 K)	-117.3	meV per atom
crystal system	cubic
total moment	0.2	μB/f.u.
energy	-0.30334	Ha/atom

=====

VASP calculation (GGA-PBE) on K2USe2S2 after structural relaxation.

Lattice parameters (Å, degrees): 15.9873 4.2372 7.1101 90.00 116.36 90.00
Space group C2/m (No. 12)
One atom of each set of equivalent atoms:
K: 0.1638 0.0000 0.1630 (multiplicity 4)
U: 0.0000 0.0000 0.5000 (multiplicity 2)
Se: 0.0011 0.5000 0.2477 (multiplicity 4)
S: 0.1700 0.0000 0.6725 (multiplicity 4)

Output
crystal system	monoclinic
formation energy without anion corrections	-1.176	eV per atom
total moment	0.1	μB/f.u.
energy	-0.19391	Ha/atom

=====

VASP calculation (GGA-PBE) on LiZnGa3 after structural relaxation.

Lattice parameters (Å, degrees): 5.3298 11.3833 6.0487 90.00 90.00 90.00
Space group Pnma (No. 62)
One atom of each set of equivalent atoms:
Li: 0.0000 0.0000 0.0000 (multiplicity 4)
Zn: 0.2341 0.2500 0.2374 (multiplicity 4)
Ga: 0.0045 0.6128 0.4617 (multiplicity 8)
Ga: 0.0410 0.7500 0.1112 (multiplicity 4)

Output
ΔH_f (0 K)	-74.7	meV per atom
crystal system	orthorhombic
total moment	0.0	μB/f.u.
energy	-0.09292	Ha/atom

=====

VASP calculation (GGA-PBE) on TlZnRu2 after structural relaxation.

Lattice parameters (Å, degrees): 6.3551 6.3551 6.3551 90.00 90.00 90.00
Space group Fm-3m (No. 225)
One atom of each set of equivalent atoms:
Tl: 0.0000 0.0000 0.0000 (multiplicity 4)
Zn: 0.0000 0.0000 0.5000 (multiplicity 4)
Ru: 0.2500 0.2500 0.2500 (multiplicity 8)

Output
ΔH_f (0 K)	437.6	meV per atom
crystal system	cubic
total moment	1.3	μB/f.u.
energy	-0.18780	Ha/atom